DFT (PBE-GGA) results for an optimized crystal structure of ReTcAs2Cl.

```
data_ReTcAs2Cl
_chemical_formula_sum 'Re1 Tc1 As2 Cl1'
_cell_length_a 4.799
_cell_length_b 4.799
_cell_length_c 4.958
_cell_angle_alpha 90.00
_cell_angle_beta 90.00
_cell_angle_gamma 90.00
_space_group_name_H-M_alt 'P 4/m m m'
_space_group_IT_number 123
_space_group_name_Hall '-P 4 2'
loop_
_atom_site_label
_atom_site_type_symbol
_atom_site_fract_x
_atom_site_fract_y
_atom_site_fract_z
Re1 Re 0.000 0.000 0.000
Tc1 Tc 0.500 0.500 0.500
As1 As 0.000 0.500 0.000
Cl1 Cl 0.000 0.000 0.500
```

Properties
Its density of states at the Fermi level is 4.840 states/eV/cell. The calculation puts the total magnetization at 0.87 μB per atom. As for the uncorrected formation energy: 1137 meV/atom.